Tb3Mg7Cd: relaxed, PBE-GGA.

POSCAR file:
```
Tb3Mg7Cd
1.0
1.6496 -11.3713 0.0000
1.6496 11.3713 0.0000
0.0000 0.0000 15.3400
Tb Mg Cd
6 14 2
Direct
0.1200 0.8800 0.5474 Tb
0.1200 0.8800 0.9526 Tb
0.2634 0.7366 0.2500 Tb
0.7366 0.2634 0.7500 Tb
0.8800 0.1200 0.0474 Tb
0.8800 0.1200 0.4526 Tb
0.2638 0.7362 0.5733 Mg
0.2638 0.7362 0.9267 Mg
0.3716 0.6284 0.6558 Mg
0.3716 0.6284 0.8442 Mg
0.4146 0.5854 0.2500 Mg
0.4932 0.5068 0.5924 Mg
0.4932 0.5068 0.9076 Mg
0.5068 0.4932 0.0924 Mg
0.5068 0.4932 0.4076 Mg
0.5854 0.4146 0.7500 Mg
0.6284 0.3716 0.1558 Mg
0.6284 0.3716 0.3442 Mg
0.7362 0.2638 0.0733 Mg
0.7362 0.2638 0.4267 Mg
0.0334 0.9666 0.2500 Cd
0.9666 0.0334 0.7500 Cd
```

Summary:
As for the density of states at the Fermi level: 8.4 states/eV/f.u. The total energy is -50.94 eV/cell.